Ac3Nd4Y2: relaxed, PBE.

E_form in kJ per mole of atoms: 2.6
E in eV/atom: -4.898

Cell lengths 6.550, 6.567, 13.193 Å; angles 131.61, 85.06, 120.11 degrees
Element x y z (fractional)
Ac 0.432 0.095 0.663
Ac 0.000 0.000 0.000
Ac 0.568 0.905 0.337
Nd 0.669 0.331 0.000
Nd 0.331 0.669 0.000
Nd 0.777 0.786 0.668
Nd 0.223 0.214 0.332
Y 0.883 0.558 0.332
Y 0.117 0.442 0.668

---

HfZrRePt: relaxed, PBE.

E_form in kJ per mole of atoms: -61.8
E in eV/atom: -9.888

Cell lengths 4.684, 4.684, 4.684 Å; angles 60.00, 60.00, 60.00 degrees
Element x y z (fractional)
Re 0.250 0.250 0.250
Hf 0.000 0.000 0.000
Zr 0.500 0.500 0.500
Pt 0.750 0.750 0.750

---

NaCaZn: relaxed, PBE.

Energy relative to the lowest polymorph listed for this composition in kJ/mol of formula units: 50
E_form in kJ per mole of atoms: 3.8
E in eV/atom: -1.492

Cell lengths 3.754, 5.129, 5.129 Å; angles 120.00, 90.00, 90.00 degrees
Element x y z (fractional)
Na 0.173 0.667 0.333
Zn 0.158 0.000 0.000
Ca 0.668 0.333 0.667

---

AlPIr2: relaxed, PBE.

Energy relative to the lowest polymorph listed for this composition in kJ/mol of formula units: 83
E_form in kJ per mole of atoms: -20.4
E in eV/atom: -6.930

Cell lengths 4.291, 4.291, 4.291 Å; angles 60.00, 60.00, 60.00 degrees
Each line ends with the local moment (μB).
Element x y z (fractional)
P 0.500 0.500 0.500  0.04
Ir 0.250 0.250 0.250  0.36
Ir 0.750 0.750 0.750  0.36
Al 0.000 0.000 0.000  0.00

---

The evaluated spin magnetization for the records listed, in turn: 0.00; 0.00; 0.00; 0.76 μB per formula unit.